Density functional theory data (GGA-PBE) for a relaxed structure of Pr4SmDyHo2.

calculated total energy	-4.6836	eV/atom
energy relative to the elements	0.016	eV per atom

Cell and atoms, written as POSCAR:
```
Pr4SmDyHo2
1.0
-3.554 -0.717 3.713
1.750 -4.793 0.750
8.285 -1.330 7.673
Pr Sm Dy Ho
4 1 1 2
Direct
0.000 0.751 0.749
0.000 0.249 0.251
0.500 0.748 0.252
0.500 0.252 0.748
0.500 0.500 0.000
0.000 0.500 0.500
0.000 0.000 0.000
0.500 0.000 0.500
```

=====

Density functional theory data (GGA-PBE) for a relaxed structure of Pr2Sm6DyHo.

calculated total energy	-4.5890	eV/atom
energy relative to the elements	0.116	eV per atom

Cell and atoms, written as POSCAR:
```
Pr2Sm6DyHo
1.0
9.357 -2.142 -2.223
0.745 8.642 -2.055
0.745 -2.374 8.560
Pr Sm Dy Ho
4 12 2 2
Direct
0.459 0.806 0.704
0.041 0.296 0.194
0.541 0.194 0.296
0.959 0.704 0.806
0.056 0.124 0.748
0.444 0.252 0.876
0.944 0.876 0.252
0.556 0.748 0.124
0.311 0.981 0.424
0.189 0.576 0.019
0.689 0.019 0.576
0.811 0.424 0.981
0.120 0.708 0.499
0.380 0.501 0.292
0.880 0.292 0.501
0.620 0.499 0.708
0.250 0.982 0.018
0.750 0.018 0.982
0.250 0.407 0.593
0.750 0.593 0.407
```

=====

Density functional theory data (GGA-PBE) for a relaxed structure of Pr2SmDy4Ho.

calculated total energy	-4.6382	eV/atom
energy relative to the elements	0.020	eV per atom

Cell and atoms, written as POSCAR:
```
Pr2SmDy4Ho
1.0
-3.280 -2.933 -2.588
1.052 -3.898 3.084
-6.408 -1.021 9.277
Pr Sm Dy Ho
2 1 4 1
Direct
0.000 0.000 0.000
0.500 0.000 0.500
0.500 0.500 0.000
0.000 0.752 0.748
0.000 0.248 0.252
0.500 0.749 0.251
0.500 0.251 0.749
0.000 0.500 0.500
```

=====

Density functional theory data (GGA-PBE) for a relaxed structure of Pr3SmDy2Ho6.

calculated total energy	-4.6258	eV/atom
energy relative to the elements	0.018	eV per atom

Cell and atoms, written as POSCAR:
```
Pr3SmDy2Ho6
1.0
-1.307 -4.275 4.318
3.360 -1.554 -4.993
9.073 4.710 5.923
Pr Sm Dy Ho
3 1 2 6
Direct
0.167 0.833 0.500
0.833 0.167 0.500
0.500 0.500 0.500
0.000 0.000 0.000
0.333 0.667 0.000
0.667 0.333 0.000
0.918 0.584 0.754
0.749 0.749 0.246
0.082 0.416 0.246
0.584 0.918 0.754
0.251 0.251 0.754
0.416 0.082 0.246
```

=====

Density functional theory data (GGA-PBE) for a relaxed structure of PrSm2Dy2Ho.

calculated total energy	-4.4015	eV/atom
energy relative to the elements	0.265	eV per atom

Cell and atoms, written as POSCAR:
```
PrSm2Dy2Ho
1.0
3.420 0.000 0.000
0.000 6.568 0.000
0.000 0.000 18.060
Pr Sm Dy Ho
2 4 4 2
Direct
0.000 0.000 0.000
0.500 0.500 0.500
0.500 0.280 0.312
0.000 0.780 0.188
0.500 0.720 0.688
0.000 0.220 0.812
0.500 0.783 0.353
0.500 0.217 0.647
0.000 0.717 0.853
0.000 0.283 0.147
0.500 0.500 0.000
0.000 0.000 0.500
```

=====

Density functional theory data (GGA-PBE) for a relaxed structure of Pr3SmDy6Ho2.

calculated total energy	-4.6340	eV/atom
energy relative to the elements	0.018	eV per atom

Cell and atoms, written as POSCAR:
```
Pr3SmDy6Ho2
1.0
-4.224 -2.345 3.922
3.459 -3.816 -3.492
8.318 1.639 8.296
Pr Sm Dy Ho
3 1 6 2
Direct
0.167 0.833 0.500
0.833 0.167 0.500
0.500 0.500 0.500
0.000 0.000 0.000
0.918 0.584 0.754
0.749 0.749 0.246
0.082 0.416 0.246
0.584 0.918 0.754
0.251 0.251 0.754
0.416 0.082 0.246
0.333 0.667 0.000
0.667 0.333 0.000
```

=====

Number 1: M_tot 0.0 μB/f.u.. Number 2: M_tot 0.0 μB/f.u.. Number 3: M_tot 0.0 μB/f.u.. Number 4: M_tot 0.0 μB/f.u.. Number 5: M_tot 0.0 μB/f.u.. Number 6: M_tot 0.0 μB/f.u..